(1)
# KAgOs2

KAgOs2 after structural relaxation (PBE, Alexandria).

a = 2.7112 Å, b = 5.4535 Å, c = 4.9590 Å
α = 90.00°, β = 92.64°, γ = 90.00°
Closest atoms and distances in Å follow each position.
Fractional coordinates of all 4 atoms:
K 0.0000 0.0000 0.0000  2 K 2.71, 4 Ag 2.77-2.88
Ag 0.5000 0.0000 0.5000  2 Ag 2.71, 4 K 2.77-2.88
Os 0.3354 0.5000 0.7501  4 Os 2.60-2.71
Os 0.6646 0.5000 0.2499  4 Os 2.60-2.71

Properties
Density of states at the Fermi level = 3.9 states/eV/f.u.
ΔH_f (0 K) = 1.1874 eV/atom
Energy above the lowest structure with this stoichiometry = 12.822 kcal/mol of atoms

(2)
# KAgOs

KAgOs after structural relaxation (PBE, Alexandria).

a = 8.4037 Å, b = 8.2858 Å, c = 2.7368 Å
α = 83.01°, β = 78.13°, γ = 18.86°
Closest atoms and distances in Å follow each position.
Fractional coordinates of all 3 atoms:
K 0.0000 0.0000 0.0000  4 K 2.74
Ag 0.6866 0.6866 0.3134  4 Ag 2.74, 2 Os 2.86
Os 0.3299 0.3299 0.6701  4 Os 2.74, 2 Ag 2.86

Properties
Density of states at the Fermi level = 1.2 states/eV/f.u.
ΔH_f (0 K) = 0.9978 eV/atom
Energy above the lowest structure with this stoichiometry = 0.899 kcal/mol of atoms

(3)
# KAgOs3

KAgOs3 after structural relaxation (PBE, Alexandria).

a = 4.9887 Å, b = 4.9887 Å, c = 4.9887 Å
α = 90.00°, β = 90.00°, γ = 90.00°
Closest atoms and distances in Å follow each position.
Fractional coordinates of all 5 atoms:
K 0.0000 0.0000 0.0000  12 Os 3.53
Ag 0.5000 0.5000 0.5000  6 Os 2.49
Os 0.0000 0.5000 0.5000  2 Ag 2.49
Os 0.5000 0.0000 0.5000  2 Ag 2.49
Os 0.5000 0.5000 0.0000  2 Ag 2.49

Properties
Density of states at the Fermi level = 7.5 states/eV/f.u.
ΔH_f (0 K) = 2.9082 eV/atom
Energy above the lowest structure with this stoichiometry = 0.000 kcal/mol of atoms

(4)
# K2ScAgOs

K2ScAgOs after structural relaxation (PBE, Alexandria).

a = 5.5739 Å, b = 5.5739 Å, c = 5.2247 Å
α = 90.00°, β = 90.00°, γ = 90.00°
Closest atoms and distances in Å follow each position.
Fractional coordinates of all 5 atoms:
K 0.0000 0.5000 0.0000  2 Ag 2.79
K 0.5000 0.0000 0.0000  2 Ag 2.79
Sc 0.0000 0.0000 0.5000  8 K 3.82, 4 Os 3.94
Ag 0.5000 0.5000 0.0000  2 Os 2.61, 4 K 2.79
Os 0.5000 0.5000 0.5000  2 Ag 2.61

Properties
Density of states at the Fermi level = 9.4 states/eV/f.u.
ΔH_f (0 K) = 1.5309 eV/atom

(5)
# KAg2SnOs

KAg2SnOs after structural relaxation (PBE, Alexandria).

a = 5.3201 Å, b = 5.3201 Å, c = 5.1281 Å
α = 90.00°, β = 90.00°, γ = 90.00°
Closest atoms and distances in Å follow each position.
Fractional coordinates of all 5 atoms:
K 0.0000 0.0000 0.0000  8 Ag 3.69, 4 Os 3.76
Ag 0.0000 0.5000 0.5000  2 Sn 2.66
Ag 0.5000 0.0000 0.5000  2 Sn 2.66
Sn 0.5000 0.5000 0.5000  2 Os 2.56, 4 Ag 2.66
Os 0.5000 0.5000 0.0000  2 Sn 2.56

Properties
Density of states at the Fermi level = 6.1 states/eV/f.u.
ΔH_f (0 K) = 0.9274 eV/atom

(6)
# KTi2AgOs

KTi2AgOs after structural relaxation (PBE, Alexandria).

a = 4.7116 Å, b = 4.7116 Å, c = 6.1668 Å
α = 90.00°, β = 90.00°, γ = 90.00°
Closest atoms and distances in Å follow each position.
Fractional coordinates of all 5 atoms:
K 0.0000 0.0000 0.0000  2 Os 3.08, 4 Ag 3.33
Ti 0.0000 0.5000 0.5000  2 Os 2.36
Ti 0.5000 0.0000 0.5000  2 Os 2.36
Ag 0.5000 0.5000 0.0000  4 K 3.33
Os 0.0000 0.0000 0.5000  4 Ti 2.36

Properties
Density of states at the Fermi level = 4.6 states/eV/f.u.
ΔH_f (0 K) = 0.8702 eV/atom

(7)
# K2Ag2P

K2Ag2P after structural relaxation (PBE, Alexandria).

a = 10.5440 Å, b = 10.5440 Å, c = 10.5440 Å
α = 159.08°, β = 159.08°, γ = 29.75°
Closest atoms and distances in Å follow each position.
Fractional coordinates of all 5 atoms:
K 0.0945 0.0945 0.0000  4 P 3.32, 4 Ag 3.70
K 0.9055 0.9055 0.0000  4 P 3.32, 4 Ag 3.70
Ag 0.2500 0.7500 0.5000  4 Ag 2.71
Ag 0.7500 0.2500 0.5000  4 Ag 2.71
P 0.5000 0.5000 0.0000  8 K 3.32

Properties
Density of states at the Fermi level = 2.0 states/eV/f.u.
ΔH_f (0 K) = 0.1249 eV/atom
Energy above the lowest structure with this stoichiometry = 2.562 kcal/mol of atoms

(8)
# KAgP2

KAgP2 after structural relaxation (PBE, Alexandria).

a = 5.3765 Å, b = 5.3765 Å, c = 5.3765 Å
α = 130.67°, β = 104.90°, γ = 95.23°
Closest atoms and distances in Å follow each position.
Fractional coordinates of all 4 atoms:
K 0.0000 0.0000 0.0000  8 P 3.38-3.45, 2 Ag 3.62
Ag 0.5000 0.5000 0.0000  4 P 2.50
P 0.3494 0.8494 0.5000  1 P 2.18
P 0.6506 0.1506 0.5000  1 P 2.18

Properties
Density of states at the Fermi level = 2.0 states/eV/f.u.
ΔH_f (0 K) = 0.0045 eV/atom
Energy above the lowest structure with this stoichiometry = 3.890 kcal/mol of atoms

(9)
# KAgP2

KAgP2 after structural relaxation (PBE, Alexandria).

a = 6.3260 Å, b = 6.3260 Å, c = 6.3260 Å
α = 41.59°, β = 41.59°, γ = 41.59°
Closest atoms and distances in Å follow each position.
Fractional coordinates of all 4 atoms:
K 0.0000 0.0000 0.0000  8 P 3.28-3.59
Ag 0.5000 0.5000 0.5000  6 P 2.62
P 0.1898 0.1898 0.1898  3 Ag 2.62, 3 P 2.71
P 0.8102 0.8102 0.8102  3 Ag 2.62, 3 P 2.71

Properties
Density of states at the Fermi level = 0.2 states/eV/f.u.
ΔH_f (0 K) = 0.0764 eV/atom
Energy above the lowest structure with this stoichiometry = 5.548 kcal/mol of atoms

(10)
# KAgP2

KAgP2 after structural relaxation (PBE, Alexandria).

a = 5.3015 Å, b = 5.3015 Å, c = 5.3015 Å
α = 130.96°, β = 130.96°, γ = 71.87°
Closest atoms and distances in Å follow each position.
Fractional coordinates of all 4 atoms:
K 0.0000 0.0000 0.0000  4 Ag 3.07, 8 P 3.07-3.11
Ag 0.7500 0.2500 0.5000  4 K 3.07, 8 P 3.07-3.11
P 0.2500 0.7500 0.5000  4 K 3.07, 4 P 3.07, 4 Ag 3.11
P 0.5000 0.5000 0.0000  4 Ag 3.07, 4 P 3.07, 4 K 3.11

Properties
Density of states at the Fermi level = 2.0 states/eV/f.u.
ΔH_f (0 K) = 0.5596 eV/atom
Energy above the lowest structure with this stoichiometry = 16.690 kcal/mol of atoms

(11)
# KAgP2

KAgP2 after structural relaxation (PBE, Alexandria).

a = 8.9575 Å, b = 8.9575 Å, c = 8.9575 Å
α = 21.98°, β = 21.98°, γ = 21.98°
Closest atoms and distances in Å follow each position.
Fractional coordinates of all 4 atoms:
K 0.0000 0.0000 0.0000  3 P 3.29, 6 K 3.42, 3 Ag 3.44
Ag 0.7742 0.7742 0.7742  3 P 2.84
P 0.2329 0.2329 0.2329  3 P 2.33
P 0.5190 0.5190 0.5190  3 P 2.33

Properties
Density of states at the Fermi level = 3.0 states/eV/f.u.
ΔH_f (0 K) = 0.1650 eV/atom
Energy above the lowest structure with this stoichiometry = 7.590 kcal/mol of atoms

(12)
# KAgP2

KAgP2 after structural relaxation (PBE, Alexandria).

a = 5.9269 Å, b = 5.9269 Å, c = 6.9177 Å
α = 120.53°, β = 120.53°, γ = 33.29°
Closest atoms and distances in Å follow each position.
Fractional coordinates of all 4 atoms:
K 0.0000 0.0000 0.0000  6 P 3.26-3.54, 2 K 3.40, 2 Ag 3.46
Ag 0.9996 0.9996 0.5001  2 P 2.43
P 0.2393 0.2393 0.5976  2 P 2.25, 1 Ag 2.43
P 0.7600 0.7600 0.4032  2 P 2.25, 1 Ag 2.43

Properties
Density of states at the Fermi level = 0.1 states/eV/f.u.
ΔH_f (0 K) = -0.1642 eV/atom
Energy above the lowest structure with this stoichiometry = 0.000 kcal/mol of atoms

(13)
# KAgP2

KAgP2 after structural relaxation (PBE, Alexandria).

a = 6.8352 Å, b = 6.8352 Å, c = 6.8352 Å
α = 151.63°, β = 139.81°, γ = 49.92°
Closest atoms and distances in Å follow each position.
Fractional coordinates of all 4 atoms:
K 0.0000 0.0000 0.0000  6 P 3.32-3.42, 2 K 3.35, 2 Ag 3.64
Ag 0.7396 0.2396 0.5000  6 P 2.73-2.89
P 0.2311 0.7311 0.5000  2 P 2.25
P 0.3518 0.3518 0.0000  2 P 2.25

Properties
Density of states at the Fermi level = 1.1 states/eV/f.u.
ΔH_f (0 K) = -0.0112 eV/atom
Energy above the lowest structure with this stoichiometry = 3.527 kcal/mol of atoms

(14)
# KAgP

KAgP after structural relaxation (PBE, Alexandria).

a = 6.3328 Å, b = 6.3328 Å, c = 6.3328 Å
α = 146.46°, β = 146.46°, γ = 48.16°
Closest atoms and distances in Å follow each position.
Fractional coordinates of all 3 atoms:
K 0.0000 0.0000 0.0000  1 Ag 3.07, 1 P 3.20
Ag 0.2655 0.2655 0.0000  4 P 2.63
P 0.7229 0.7229 0.0000  4 Ag 2.63

Properties
Density of states at the Fermi level = 1.2 states/eV/f.u.
ΔH_f (0 K) = 0.0406 eV/atom
Energy above the lowest structure with this stoichiometry = 5.892 kcal/mol of atoms